A geometry-optimized La2TmGe3Pt4 structure, computed with PBE.

The total energy is -6.253 eV/atom. For the formation energy, the calculation gives -1019.0 meV/atom. For the total magnetization, the calculation gives 0.00 μB per formula unit.

The structure belongs to space group P-4m2 (No. 115); the cell edges are 4.359, 4.359 and 11.081 Å and the angles 90.00°, 90.00° and 90.00°. The distinct sites, in fractional coordinates, are La at (0.000, 0.500, 0.228), Tm at (0.000, 0.000, 0.500), Ge at (0.000, 0.500, 0.878), Ge at (0.500, 0.500, 0.500), Pt at (0.000, 0.000, 0.000), Pt at (0.000, 0.500, 0.653) and Pt at (0.500, 0.500, 0.000).